# PBE Pm2Cd2Rh, relaxed
data_Pm2Cd2Rh
_chemical_formula_sum 'Pm8 Cd8 Rh4'
_symmetry_space_group_name_H-M 'I 41/a m d'
_symmetry_Int_Tables_number 141
_cell_length_a 4.706
_cell_length_b 4.706
_cell_length_c 24.266
_cell_angle_alpha 90.00
_cell_angle_beta 90.00
_cell_angle_gamma 90.00
loop_
_symmetry_equiv_pos_as_xyz
'x,y,z'
'-x,-y,-z'
'-y+1/4,x+3/4,z+1/4'
'y+1/4,-x+3/4,-z+1/4'
'-x+1/2,-y,z+1/2'
'x+1/2,y,-z+1/2'
'y+1/4,-x+1/4,z+3/4'
'-y+1/4,x+1/4,-z+3/4'
'x,-y,-z'
'-x,y,z'
'-y+1/4,-x+1/4,-z+3/4'
'y+1/4,x+1/4,z+3/4'
'-x+1/2,y,-z+1/2'
'x+1/2,-y,z+1/2'
'y+1/4,x+3/4,-z+1/4'
'-y+1/4,-x+3/4,z+1/4'
'x+1/2,y+1/2,z+1/2'
'-x+1/2,-y+1/2,-z+1/2'
'-y+3/4,x+1/4,z+3/4'
'y+3/4,-x+1/4,-z+3/4'
'-x,-y+1/2,z'
'x,y+1/2,-z'
'y+3/4,-x+3/4,z+1/4'
'-y+3/4,x+3/4,-z+1/4'
'x+1/2,-y+1/2,-z+1/2'
'-x+1/2,y+1/2,z+1/2'
'-y+3/4,-x+3/4,-z+1/4'
'y+3/4,x+3/4,z+1/4'
'-x,y+1/2,-z'
'x,-y+1/2,z'
'y+3/4,x+1/4,-z+3/4'
'-y+3/4,-x+1/4,z+3/4'
loop_
_atom_site_label
_atom_site_type_symbol
_atom_site_fract_x
_atom_site_fract_y
_atom_site_fract_z
Pm1 Pm 0.000 0.250 0.063
Cd1 Cd 0.000 0.250 0.202
Rh1 Rh 0.000 0.250 0.375
# N(E_F) = 0.9780 states/eV/atom
# Energy of formation from the pure elements = -0.34 eV per atom
# Mass density = 7.64 Mg/m³
# VASP energy = -0.1497 Ha/atom



# PBE LiIn2Os, relaxed
data_LiIn2Os
_chemical_formula_sum 'Li1 In2 Os1'
_symmetry_space_group_name_H-M 'P 4 m m'
_symmetry_Int_Tables_number 99
_cell_length_a 3.554
_cell_length_b 3.554
_cell_length_c 5.757
_cell_angle_alpha 90.00
_cell_angle_beta 90.00
_cell_angle_gamma 90.00
loop_
_symmetry_equiv_pos_as_xyz
'x,y,z'
'-y,x,z'
'-x,-y,z'
'y,-x,z'
'-x,y,z'
'y,x,z'
'x,-y,z'
'-y,-x,z'
loop_
_atom_site_label
_atom_site_type_symbol
_atom_site_fract_x
_atom_site_fract_y
_atom_site_fract_z
Li1 Li 0.000 0.000 0.000
In1 In 0.000 0.000 0.442
In2 In 0.500 0.500 0.764
Os1 Os 0.500 0.500 0.239
# N(E_F) = 0.6245 states/eV/atom
# Energy of formation from the pure elements = 0.28 eV per atom
# Mass density = 9.74 Mg/m³
# VASP energy = -0.1609 Ha/atom



# PBE Ba8SrPd4, relaxed
data_Ba8SrPd4
_chemical_formula_sum 'Ba16 Sr2 Pd8'
_symmetry_space_group_name_H-M 'C 1 m 1'
_symmetry_Int_Tables_number 8
_cell_length_a 22.645
_cell_length_b 4.650
_cell_length_c 15.464
_cell_angle_alpha 90.00
_cell_angle_beta 131.03
_cell_angle_gamma 90.00
loop_
_symmetry_equiv_pos_as_xyz
'x,y,z'
'x,-y,z'
'x+1/2,y+1/2,z'
'x+1/2,-y+1/2,z'
loop_
_atom_site_label
_atom_site_type_symbol
_atom_site_fract_x
_atom_site_fract_y
_atom_site_fract_z
Ba1 Ba 0.000 0.000 0.000
Ba2 Ba 0.030 0.000 0.748
Ba3 Ba 0.125 0.500 0.600
Ba4 Ba 0.205 0.500 0.083
Ba5 Ba 0.299 0.000 0.936
Ba6 Ba 0.330 0.000 0.684
Ba7 Ba 0.373 0.000 0.413
Ba8 Ba 0.458 0.500 0.271
Sr1 Sr 0.166 0.500 0.342
Pd1 Pd 0.000 0.000 0.514
Pd2 Pd 0.018 0.500 0.877
Pd3 Pd 0.312 0.500 0.807
Pd4 Pd 0.330 0.000 0.170
# N(E_F) = 0.6511 states/eV/atom
# Energy of formation from the pure elements = -0.38 eV per atom
# Mass density = 4.36 Mg/m³
# VASP energy = -0.1208 Ha/atom



# PBE Ba2In3Ga5, relaxed
data_Ba2In3Ga5
_chemical_formula_sum 'Ba2 In3 Ga5'
_symmetry_space_group_name_H-M 'P -4 m 2'
_symmetry_Int_Tables_number 115
_cell_length_a 4.817
_cell_length_b 4.817
_cell_length_c 11.345
_cell_angle_alpha 90.00
_cell_angle_beta 90.00
_cell_angle_gamma 90.00
loop_
_symmetry_equiv_pos_as_xyz
'x,y,z'
'y,-x,-z'
'-x,-y,z'
'-y,x,-z'
'-x,y,z'
'-y,-x,-z'
'x,-y,z'
'y,x,-z'
loop_
_atom_site_label
_atom_site_type_symbol
_atom_site_fract_x
_atom_site_fract_y
_atom_site_fract_z
Ba1 Ba 0.000 0.500 0.233
In1 In 0.000 0.500 0.645
In2 In 0.500 0.500 0.500
Ga1 Ga 0.000 0.000 0.000
Ga2 Ga 0.000 0.000 0.500
Ga3 Ga 0.000 0.500 0.889
Ga4 Ga 0.500 0.500 0.000
# N(E_F) = 0.2854 states/eV/atom
# Energy of formation from the pure elements = -0.39 eV per atom
# Mass density = 6.10 Mg/m³
# VASP energy = -0.1141 Ha/atom



# PBE MgRe3P, relaxed
data_MgRe3P
_chemical_formula_sum 'Mg1 Re3 P1'
_symmetry_space_group_name_H-M 'P m -3 m'
_symmetry_Int_Tables_number 221
_symmetry_space_group_name_Hall '-P 4 2 3'
_cell_length_a 4.409
_cell_length_b 4.409
_cell_length_c 4.409
_cell_angle_alpha 90.00
_cell_angle_beta 90.00
_cell_angle_gamma 90.00
loop_
_atom_site_label
_atom_site_type_symbol
_atom_site_fract_x
_atom_site_fract_y
_atom_site_fract_z
Mg1 Mg 0.000 0.000 0.000
Re1 Re 0.000 0.500 0.500
P1 P 0.500 0.500 0.500
# N(E_F) = 1.0223 states/eV/atom
# Energy of formation from the pure elements = 0.72 eV per atom
# Offset from the most stable computed form = 0 meV/atom
# Mass density = 11.90 Mg/m³
# VASP energy = -0.2996 Ha/atom



# PBE Pu3HgGe2, relaxed
data_Pu3HgGe2
_chemical_formula_sum 'Pu3 Hg1 Ge2'
_symmetry_space_group_name_H-M 'P 4/m m m'
_symmetry_Int_Tables_number 123
_symmetry_space_group_name_Hall '-P 4 2'
_cell_length_a 3.821
_cell_length_b 3.821
_cell_length_c 9.432
_cell_angle_alpha 90.00
_cell_angle_beta 90.00
_cell_angle_gamma 90.00
loop_
_atom_site_label
_atom_site_type_symbol
_atom_site_fract_x
_atom_site_fract_y
_atom_site_fract_z
Pu1 Pu 0.000 0.000 0.000
Pu2 Pu 0.000 0.000 0.296
Hg1 Hg 0.500 0.500 0.500
Ge1 Ge 0.500 0.500 0.146
# N(E_F) = 3.7263 states/eV/atom
# Energy of formation from the pure elements = -0.32 eV per atom
# Mass density = 13.00 Mg/m³
# VASP energy = -0.3335 Ha/atom